PBE Tm6Al2Tl, optimized geometry; calculated density = 8688 kg/m3; DFT total energy = -4.34 eV per atom; SG = No. 71; offset from the most stable computed form = 0.0 meV/atom; ΔH_f (0 K) = -0.267 eV per atom
1.0
-4.760 4.849 5.266
4.760 -4.849 5.266
4.760 4.849 -5.266
Tm Al Tl
12 4 2
direct
0.029 0.821 0.207
0.245 0.542 0.297
0.245 0.948 0.703
0.275 0.315 0.590
0.275 0.685 0.960
0.386 0.179 0.207
0.614 0.821 0.793
0.725 0.315 0.040
0.725 0.685 0.410
0.755 0.052 0.297
0.755 0.458 0.703
0.971 0.179 0.793
0.000 0.144 0.144
0.000 0.856 0.856
0.378 0.378 0.000
0.622 0.622 0.000
0.000 0.500 0.500
0.500 0.000 0.500

---

PBE La4Pb2I3, optimized geometry; formation energy (no corrections) = -1032.3 meV/atom; calculated density = 6262 kg/m3; DFT total energy = -4.56 eV per atom; SG = No. 12; offset from the most stable computed form = 0.0 meV/atom
1.0
4.071 -2.350 0.000
4.071 2.350 0.000
-0.014 0.000 18.717
La Pb I
4 2 3
direct
0.001 0.001 0.297
0.334 0.334 0.107
0.666 0.666 0.893
0.999 0.999 0.703
0.333 0.333 0.799
0.667 0.667 0.201
0.000 0.000 0.000
0.334 0.334 0.400
0.666 0.666 0.600